SrLiTl2Zn, optimized geometry, DFT PBE; DOS(E_F) = 0.672 states/eV per atom; ΔE_f = -104 meV per atom
1.0
-2.7248 -3.1080 3.1198
-0.6091 -3.3675 -3.8867
4.1861 -2.3151 1.3498
Tl Li Zn Sr
2 1 1 1
direct
0.0000 0.5000 0.0000 Tl
0.5000 0.0000 0.0000 Tl
0.0000 0.0000 0.0000 Li
0.0000 0.0000 0.5000 Zn
0.5000 0.5000 0.5000 Sr

---

Tl8BiPb6, optimized geometry, DFT PBE; DOS(E_F) = 0.407 states/eV per atom; ΔE_f = 73 meV per atom
1.0
-4.6720 -5.0122 1.4688
-4.0442 1.3994 -8.0885
6.7783 -6.1039 0.7312
Tl Pb Bi
8 6 1
direct
0.1167 0.6806 0.0007 Tl
0.8833 0.0007 0.3201 Tl
0.1167 0.9993 0.6799 Tl
0.8833 0.6799 0.6806 Tl
0.1167 0.3201 0.3194 Tl
0.2664 0.6667 0.3333 Tl
0.7336 0.3333 0.6667 Tl
0.8833 0.3194 0.9993 Tl
0.6179 0.9454 0.6242 Pb
0.3821 0.6242 0.6788 Pb
0.6179 0.6788 0.0546 Pb
0.3821 0.3212 0.9454 Pb
0.3821 0.0546 0.3758 Pb
0.6179 0.3758 0.3212 Pb
0.5000 0.0000 0.0000 Bi

---

ScOs2Br, optimized geometry, DFT PBE; offset from the most stable computed form = 0.0 kJ/mol of formula units; DOS(E_F) = 0.238 states/eV per atom
1.0
3.9857 -0.0473 -0.0383
2.0339 3.4280 -0.0383
0.0659 0.0370 6.6602
Sc Os Br
1 2 1
direct
0.5416 0.5416 0.4442 Sc
0.2083 0.2083 0.2162 Os
0.8750 0.8750 0.1170 Os
0.8750 0.8750 0.7226 Br

---

Ti3CoPb, optimized geometry, DFT PBE; offset from the most stable computed form = 5.0 kJ/mol of formula units; DOS(E_F) = 1.051 states/eV per atom; ΔE_f = -106 meV per atom
1.0
-2.7994 -0.7127 -1.1736
3.9210 -2.0703 -3.9535
-0.1723 -8.3698 5.4935
Ti Pb Co
6 2 2
direct
0.4026 0.8051 0.1506 Ti
0.2479 0.4957 0.6412 Ti
0.0152 0.0304 0.3554 Ti
0.7521 0.5043 0.3588 Ti
0.5974 0.1949 0.8494 Ti
0.9848 0.9696 0.6446 Ti
0.8644 0.7288 0.8892 Pb
0.1356 0.2712 0.1108 Pb
0.3890 0.7780 0.4583 Co
0.6110 0.2220 0.5417 Co

---

NaGd2Ir, optimized geometry, DFT PBE; offset from the most stable computed form = 0.0 kJ/mol of formula units; DOS(E_F) = 0.870 states/eV per atom; ΔE_f = -365 meV per atom
1.0
-3.4983 -0.0930 -0.2356
-0.1794 -1.3939 3.2136
-0.4804 8.6432 3.7222
Gd Na Ir
2 1 1
direct
0.0000 0.0000 0.8282 Gd
0.0000 0.0000 0.1718 Gd
0.5000 0.5000 0.5000 Na
0.5000 0.5000 0.0000 Ir

---

Sc4Mn3, optimized geometry, DFT PBE; offset from the most stable computed form = 0.0 kJ/mol of formula units; DOS(E_F) = 0.916 states/eV per atom; ΔE_f = 56 meV per atom
1.0
-1.4814 1.4814 14.2263
1.4814 -1.4814 14.2263
1.4814 1.4814 -14.2263
Sc Mn
4 3
direct
0.8354 0.8354 0.0000 Sc
0.1646 0.1646 0.0000 Sc
0.4383 0.4383 0.0000 Sc
0.5617 0.5617 0.0000 Sc
0.2704 0.2704 0.0000 Mn
0.7296 0.7296 0.0000 Mn
0.0000 0.0000 0.0000 Mn

---

- The highest DOS(E_F) belongs to which entry?
  Ti3CoPb